Entry 1:
Compound: ZrAu2Br
Source: Alexandria via LeMat-Bulk
Functional: GGA-PBE
Structure: relaxed

```
ZrAu2Br
1.0
1.7236 0.9951 9.1403
-1.7236 0.9951 9.1403
0.0000 -1.9902 9.1403
Zr Au Br
1 2 1
Direct
0.0000 0.0000 0.0000
0.4799 0.4799 0.4799
0.7400 0.7400 0.7400
0.2635 0.2635 0.2635
```

Values from the calculation:
formation energy (no corrections) = -33.4 kJ/mol of atoms
energy relative to the lowest polymorph listed for this composition = 0.1088 eV per atom

Entry 2:
Compound: P2HIrAu
Source: Alexandria via LeMat-Bulk
Functional: GGA-PBE
Structure: relaxed

```
P2HIrAu
1.0
4.2853 -2.2991 0.0000
4.2853 2.2991 0.0000
-1.0923 0.0000 3.6274
P H Ir Au
2 1 1 1
Direct
0.0000 0.0000 0.0000
0.7308 0.7308 0.7585
0.0290 0.0290 0.6503
0.5743 0.5743 0.1572
0.3043 0.3043 0.5087
```

Values from the calculation:
energy relative to the lowest polymorph listed for this composition = 0.0966 eV per atom

Entry 3:
Compound: TiTc2Bi
Source: Alexandria via LeMat-Bulk
Functional: GGA-PBE
Structure: relaxed

```
TiTc2Bi
1.0
-2.0646 2.0646 9.2121
2.0646 -2.0646 9.2121
2.0646 2.0646 -9.2121
Ti Tc Bi
2 4 2
Direct
0.0000 0.0000 0.0000
0.7500 0.2500 0.5000
0.0479 0.6250 0.9229
0.3750 0.2979 0.4229
0.7021 0.1250 0.0771
0.8750 0.9521 0.5771
0.2500 0.7500 0.5000
0.5000 0.5000 0.0000
```

Entry 4:
Compound: LiFeP
Source: Alexandria via LeMat-Bulk
Functional: GGA-PBE
Structure: relaxed

```
LiFeP
1.0
2.6004 0.0000 0.0000
0.0000 3.6077 0.0000
0.0000 0.0000 4.5129
Li Fe P
1 1 1
Direct
0.0000 0.0000 0.0000
0.0000 0.5000 0.5000
0.5000 0.0000 0.5000
```

Entry 5:
Compound: ZrTa4Ti
Source: Alexandria via LeMat-Bulk
Functional: GGA-PBE
Structure: relaxed

```
ZrTa4Ti
1.0
0.0000 3.8962 3.8962
3.8962 0.0000 3.8962
3.8962 3.8962 0.0000
Zr Ta Ti
1 4 1
Direct
0.0000 0.0000 0.0000
0.1247 0.6251 0.6251
0.6251 0.1247 0.6251
0.6251 0.6251 0.1247
0.6251 0.6251 0.6251
0.2500 0.2500 0.2500
```

Entry 6:
Compound: PaBrO2
Source: Alexandria via LeMat-Bulk
Functional: GGA-PBE
Structure: relaxed

```
PaBrO2
1.0
15.0981 0.0000 0.0000
0.0000 6.4988 0.0000
0.0000 0.0000 5.8555
Pa Br O
8 8 16
Direct
0.0772 0.2500 0.0016
0.1588 0.7500 0.1601
0.3412 0.2500 0.6601
0.4228 0.7500 0.5016
0.5772 0.2500 0.4984
0.6588 0.7500 0.3399
0.8412 0.2500 0.8399
0.9228 0.7500 0.9984
0.1007 0.7500 0.6722
0.1393 0.2500 0.5185
0.3607 0.7500 0.0185
0.3993 0.2500 0.1722
0.6007 0.7500 0.8278
0.6393 0.2500 0.9815
0.8607 0.7500 0.4815
0.8993 0.2500 0.3278
0.0422 0.5607 0.1659
0.0422 0.9393 0.1659
0.1897 0.0422 0.0186
0.1897 0.4578 0.0186
0.3103 0.5422 0.5186
0.3103 0.9578 0.5186
0.4578 0.0607 0.6659
0.4578 0.4393 0.6659
0.5422 0.5607 0.3341
0.5422 0.9393 0.3341
0.6897 0.0422 0.4814
0.6897 0.4578 0.4814
0.8103 0.5422 0.9814
0.8103 0.9578 0.9814
0.9578 0.0607 0.8341
0.9578 0.4393 0.8341
```

Values from the calculation:
formation energy (no corrections) = -264.4 kJ/mol of atoms
energy relative to the lowest polymorph listed for this composition = 0.0350 eV per atom

Entry 7:
Compound: AcGaH8Ir2
Source: Alexandria via LeMat-Bulk
Functional: GGA-PBE
Structure: relaxed

```
AcGaH8Ir2
1.0
4.5206 -2.1237 0.0000
4.5206 2.1237 0.0000
-3.4102 0.0000 7.0364
Ac Ga H Ir
1 1 8 2
Direct
0.0000 0.0000 0.0000
0.0000 0.0000 0.5000
0.1954 0.5747 0.6685
0.2630 0.2630 0.2998
0.3501 0.3501 0.0581
0.4253 0.8046 0.3315
0.5747 0.1954 0.6685
0.6499 0.6499 0.9419
0.7370 0.7370 0.7002
0.8046 0.4253 0.3315
0.4466 0.4466 0.2964
0.5534 0.5534 0.7036
```

Entry 8:
Compound: MgMnSe2
Source: Alexandria via LeMat-Bulk
Functional: GGA-PBE
Structure: relaxed

```
MgMnSe2
1.0
4.0639 0.0000 0.0000
0.0000 3.5455 0.0000
-0.3996 0.0000 6.5627
Mg Mn Se
1 1 2
Direct
0.0000 0.0000 0.0000
0.0000 0.0000 0.5000
0.2524 0.5000 0.7485
0.7476 0.5000 0.2515
```

Values from the calculation:
formation energy (no corrections) = -49.0 kJ/mol of atoms

Entry 9:
Compound: Na2SmTl3
Source: Alexandria via LeMat-Bulk
Functional: GGA-PBE
Structure: relaxed

```
Na2SmTl3
1.0
5.3843 0.0000 0.0000
-2.6921 4.6629 0.0000
0.0000 0.0000 13.2827
Na Sm Tl
4 2 6
Direct
0.0000 0.0000 0.0000
0.0000 0.0000 0.5000
0.3333 0.6667 0.1645
0.6667 0.3333 0.8355
0.3333 0.6667 0.6612
0.6667 0.3333 0.3388
0.0000 0.0000 0.2491
0.0000 0.0000 0.7509
0.3333 0.6667 0.4145
0.3333 0.6667 0.9140
0.6667 0.3333 0.0860
0.6667 0.3333 0.5855
```

Entry 10:
Compound: Ir2C
Source: Alexandria via LeMat-Bulk
Functional: GGA-PBE
Structure: relaxed

```
Ir2C
1.0
-2.0513 2.0513 10.8012
2.0513 -2.0513 10.8012
2.0513 2.0513 -10.8012
Ir C
8 4
Direct
0.0945 0.3445 0.7500
0.2778 0.5278 0.7500
0.3445 0.0945 0.2500
0.4722 0.7222 0.7500
0.5278 0.2778 0.2500
0.6555 0.9055 0.7500
0.7222 0.4722 0.2500
0.9055 0.6555 0.2500
0.0926 0.8426 0.2500
0.1574 0.9074 0.2500
0.8426 0.0926 0.7500
0.9074 0.1574 0.7500
```

Values from the calculation:
energy relative to the lowest polymorph listed for this composition = 0.7168 eV per atom

Entry 11:
Compound: Mg2Sc2Cd
Source: Alexandria via LeMat-Bulk
Functional: GGA-PBE
Structure: relaxed

```
Mg2Sc2Cd
1.0
2.4993 1.4430 5.2997
-2.4993 1.4430 5.2997
0.0000 -2.8859 5.2997
Mg Sc Cd
2 2 1
Direct
0.1897 0.1897 0.1897
0.8103 0.8103 0.8103
0.3949 0.3949 0.3949
0.6051 0.6051 0.6051
0.0000 0.0000 0.0000
```

Values from the calculation:
energy relative to the lowest polymorph listed for this composition = 0.0000 eV per atom

Entry 12:
Compound: Sr2AgPb
Source: Alexandria via LeMat-Bulk
Functional: GGA-PBE
Structure: relaxed

```
Sr2AgPb
1.0
-2.4368 2.4368 5.4784
2.4368 -2.4368 5.4784
2.4368 2.4368 -5.4784
Sr Ag Pb
2 1 1
Direct
0.0000 0.0000 0.0000
0.7500 0.2500 0.5000
0.2500 0.7500 0.5000
0.5000 0.5000 0.0000
```

Entry 13:
Compound: LuHfSn
Source: Alexandria via LeMat-Bulk
Functional: GGA-PBE
Structure: relaxed

```
LuHfSn
1.0
-1.8205 1.8205 5.4500
1.8205 -1.8205 5.4500
1.8205 1.8205 -5.4500
Lu Hf Sn
1 1 1
Direct
0.0000 0.0000 0.0000
0.3258 0.3258 0.0000
0.6732 0.6732 0.0000
```

Values from the calculation:
energy relative to the lowest polymorph listed for this composition = 0.0000 eV per atom

Entry 14:
Compound: GaTc
Source: Alexandria via LeMat-Bulk
Functional: GGA-PBE
Structure: relaxed

```
GaTc
1.0
4.2962 0.0000 0.0000
-2.1481 3.7206 0.0000
0.0000 0.0000 4.9448
Ga Tc
2 2
Direct
0.3333 0.6667 0.2500
0.6667 0.3333 0.7500
0.3333 0.6667 0.7500
0.6667 0.3333 0.2500
```

Values from the calculation:
energy relative to the lowest polymorph listed for this composition = 0.9131 eV per atom

Entry 15:
Compound: Th2TlSe
Source: Alexandria via LeMat-Bulk
Functional: GGA-PBE
Structure: relaxed

```
Th2TlSe
1.0
3.5971 0.0000 0.0000
0.0000 3.5971 0.0000
0.0000 0.0000 8.2976
Th Tl Se
2 1 1
Direct
0.0000 0.0000 0.2281
0.0000 0.0000 0.7719
0.5000 0.5000 0.5000
0.5000 0.5000 0.0000
```

Values from the calculation:
formation energy (no corrections) = -72.9 kJ/mol of atoms
energy relative to the lowest polymorph listed for this composition = 0.0000 eV per atom

Entry 16:
Compound: RhAuNO2
Source: Alexandria via LeMat-Bulk
Functional: GGA-PBE
Structure: relaxed

```
RhAuNO2
1.0
4.1297 0.0000 0.0000
0.0000 4.1297 0.0000
0.0000 0.0000 3.9521
Rh Au N O
1 1 1 2
Direct
0.0000 0.0000 0.0000
0.5000 0.5000 0.5000
0.5000 0.5000 0.0000
0.0000 0.5000 0.5000
0.5000 0.0000 0.5000
```

Values from the calculation:
formation energy (no corrections) = 139.9 kJ/mol of atoms

Entry 17:
Compound: Mn4NbRh
Source: Alexandria via LeMat-Bulk
Functional: GGA-PBE
Structure: relaxed

```
Mn4NbRh
1.0
0.0000 3.3510 3.3510
3.3510 0.0000 3.3510
3.3510 3.3510 0.0000
Mn Nb Rh
4 1 1
Direct
0.3772 0.3772 0.3772
0.3772 0.3772 0.8684
0.3772 0.8684 0.3772
0.8684 0.3772 0.3772
0.0000 0.0000 0.0000
0.7500 0.7500 0.7500
```

Entry 18:
Compound: Ag2AsS4
Source: Alexandria via LeMat-Bulk
Functional: GGA-PBE
Structure: relaxed

```
Ag2AsS4
1.0
6.5989 0.0000 0.0000
0.0000 6.5989 0.0000
0.0000 0.0000 4.5876
Ag As S
2 1 4
Direct
0.0000 0.5000 0.0000
0.5000 0.0000 0.0000
0.0000 0.0000 0.0000
0.2081 0.2081 0.7743
0.2081 0.7919 0.2257
0.7919 0.2081 0.2257
0.7919 0.7919 0.7743
```

Values from the calculation:
formation energy (no corrections) = 8.8 kJ/mol of atoms
energy relative to the lowest polymorph listed for this composition = 0.0636 eV per atom

Entry 19:
Compound: Zn2RuBr
Source: Alexandria via LeMat-Bulk
Functional: GGA-PBE
Structure: relaxed

```
Zn2RuBr
1.0
1.4368 -2.6894 0.0000
1.4368 2.6894 0.0000
0.0000 0.0000 9.6256
Zn Ru Br
2 1 1
Direct
0.0000 0.0000 0.0000
0.5000 0.5000 0.2348
0.0000 0.0000 0.4561
0.5000 0.5000 0.6675
```

Values from the calculation:
formation energy (no corrections) = 42.4 kJ/mol of atoms
energy relative to the lowest polymorph listed for this composition = 0.3206 eV per atom

Entry 20:
Compound: BeTlP2
Source: Alexandria via LeMat-Bulk
Functional: GGA-PBE
Structure: relaxed

```
BeTlP2
1.0
1.8885 -2.7887 0.0000
1.8885 2.7887 0.0000
0.0000 0.0000 7.5112
Be Tl P
1 1 2
Direct
0.0000 0.0000 0.0000
0.0000 0.0000 0.5000
0.5000 0.5000 0.1470
0.5000 0.5000 0.8530
```

Values from the calculation:
energy relative to the lowest polymorph listed for this composition = 0.1986 eV per atom

Entry 21:
Compound: TbPm3Tm2Te6
Source: Alexandria via LeMat-Bulk
Functional: GGA-PBE
Structure: relaxed

```
TbPm3Tm2Te6
1.0
9.6485 -2.1724 0.0000
9.6485 2.1724 0.0000
-2.2987 0.0000 8.5980
Tb Pm Tm Te
1 3 2 6
Direct
0.0000 0.0000 0.0000
0.0000 0.0000 0.5000
0.3362 0.3362 0.1683
0.6638 0.6638 0.8317
0.3347 0.3347 0.6700
0.6653 0.6653 0.3300
0.1663 0.1663 0.0918
0.1706 0.1706 0.5744
0.4959 0.4959 0.7532
0.5041 0.5041 0.2468
0.8294 0.8294 0.4256
0.8337 0.8337 0.9082
```

Values from the calculation:
formation energy (no corrections) = -127.2 kJ/mol of atoms

Entry 22:
Compound: La2BeW
Source: Alexandria via LeMat-Bulk
Functional: GGA-PBE
Structure: relaxed

```
La2BeW
1.0
4.4064 -1.5241 0.0000
4.4064 1.5241 0.0000
-0.6687 0.0000 7.2083
La Be W
2 1 1
Direct
0.2433 0.2433 0.2536
0.7567 0.7567 0.7464
0.5000 0.5000 0.0000
0.0000 0.0000 0.5000
```

Entry 23:
Compound: Sr2ZrNi
Source: Alexandria via LeMat-Bulk
Functional: GGA-PBE
Structure: relaxed

```
Sr2ZrNi
1.0
1.8672 1.0780 9.9814
-1.8672 1.0780 9.9814
0.0000 -2.1561 9.9814
Sr Zr Ni
2 1 1
Direct
0.2316 0.2316 0.2316
0.7684 0.7684 0.7684
0.0000 0.0000 0.0000
0.5000 0.5000 0.5000
```

Values from the calculation:
energy relative to the lowest polymorph listed for this composition = 0.4585 eV per atom

Entry 24:
Compound: Rb3SmU3Se8
Source: Alexandria via LeMat-Bulk
Functional: GGA-PBE
Structure: relaxed

```
Rb3SmU3Se8
1.0
4.2256 2.4397 8.1519
-4.2256 2.4397 8.1519
0.0000 -4.8793 8.1519
Rb Sm U Se
3 1 3 8
Direct
0.0000 0.5000 0.5000
0.5000 0.0000 0.5000
0.5000 0.5000 0.0000
0.5000 0.5000 0.5000
0.0000 0.0000 0.5000
0.0000 0.5000 0.0000
0.5000 0.0000 0.0000
0.2254 0.7347 0.7347
0.2321 0.2321 0.2321
0.2653 0.2653 0.7746
0.2653 0.7746 0.2653
0.7347 0.2254 0.7347
0.7347 0.7347 0.2254
0.7679 0.7679 0.7679
0.7746 0.2653 0.2653
```

Values from the calculation:
formation energy (no corrections) = -131.0 kJ/mol of atoms

Entry 25:
Compound: La2CoGeSb
Source: Alexandria via LeMat-Bulk
Functional: GGA-PBE
Structure: relaxed

```
La2CoGeSb
1.0
5.4174 0.0000 0.0000
0.0000 5.4174 0.0000
0.0000 0.0000 4.4702
La Co Ge Sb
2 1 1 1
Direct
0.0000 0.5000 0.0000
0.5000 0.0000 0.0000
0.0000 0.0000 0.0000
0.0000 0.0000 0.5000
0.5000 0.5000 0.5000
```

Values from the calculation:
formation energy (no corrections) = -67.1 kJ/mol of atoms

Number 1: total energy -0.334 Ry/atom. Number 2: total energy -0.388 Ry/atom. Number 3: total energy -0.556 Ry/atom. Number 4: total energy -0.402 Ry/atom. Number 5: total energy -0.769 Ry/atom. Number 6: total energy -0.589 Ry/atom. Number 7: total energy -0.334 Ry/atom. Number 8: total energy -0.363 Ry/atom. Number 9: total energy -0.192 Ry/atom. Number 10: total energy -0.566 Ry/atom. Number 11: total energy -0.253 Ry/atom. Number 12: total energy -0.200 Ry/atom. Number 13: total energy -0.472 Ry/atom. Number 14: total energy -0.438 Ry/atom. Number 15: total energy -0.436 Ry/atom. Number 16: total energy -0.318 Ry/atom. Number 17: total energy -0.671 Ry/atom. Number 18: total energy -0.275 Ry/atom. Number 19: total energy -0.216 Ry/atom. Number 20: total energy -0.292 Ry/atom. Number 21: total energy -0.383 Ry/atom. Number 22: total energy -0.422 Ry/atom. Number 23: total energy -0.284 Ry/atom. Number 24: total energy -0.440 Ry/atom. Number 25: total energy -0.429 Ry/atom.